Computed, not measured: crystalline KPrS2O8 at its relaxed geometry at the GGA-PBE level of DFT.

- Final energy: -78.5 eV per formula unit

Cell lengths 5.3668, 6.9121, 8.3961 Å; angles 86.61, 88.54, 88.32 degrees
Last column: nearest neighbours and their distance in Å.
Space group P-1 (No. 2)
Unique sites:
K: 0.2469 0.1545 0.3135  8 O 2.65-2.87
Pr: 0.1845 0.3177 0.7994  8 O 2.42-2.57
S: 0.2600 0.6764 0.4324  4 O 1.47-1.50
S: 0.2787 0.8035 0.9515  4 O 1.47-1.50
O: 0.0349 0.8095 0.4253  1 S 1.50
O: 0.1120 0.6428 0.9140  1 S 1.50
O: 0.1710 0.8850 0.0981  1 S 1.48
O: 0.2317 0.5400 0.3033  1 S 1.49
O: 0.2722 0.5781 0.5923  1 S 1.47
O: 0.2883 0.9512 0.8176  1 S 1.47
O: 0.4652 0.2779 0.0203  1 S 1.49
O: 0.4882 0.7909 0.4002  1 S 1.49

Computed, not measured: crystalline KRbTm at its relaxed geometry at the GGA-PBE level of DFT.

- Final energy: -3.5 eV per formula unit

Cell lengths 9.3399, 9.3399, 9.3399 Å; angles 90.00, 90.00, 90.00 degrees
Last column: nearest neighbours and their distance in Å.
Space group F-43m (No. 216)
Unique sites:
K: 0.0000 0.0000 0.0000  4 Rb 4.04, 4 Tm 4.04
Rb: 0.2500 0.2500 0.7500  4 K 4.04
Tm: 0.2500 0.2500 0.2500  4 K 4.04